Here is crystalline KAg2Au at its relaxed geometry from the Alexandria database. Energies are from GGA-PBE.

Results
- Crystal system: tetragonal
- Size of the total moment: 0.00 μB/f.u.
- ΔE to the lowest computed polymorph: 0.97 eV per formula unit
- D(E_F): 1.0 states/eV per cell
- Calculated formation energy: 0.137 eV/atom

abc: 5.445 5.445 5.445
angles: 131.35 131.35 71.27
Fractional positions:
K1 0.000 0.000 0.000
Ag1 0.250 0.750 0.500
Ag2 0.750 0.250 0.500
Au1 0.500 0.500 0.000


Here is crystalline NaSr2CdF at its relaxed geometry from the Alexandria database. Energies are from GGA-PBE.

Results
- Crystal system: tetragonal
- Uncorrected formation energy: -1.183 eV/atom
- Size of the total moment: 0.00 μB/f.u.
- D(E_F): 2.9 states/eV per cell

abc: 5.498 5.498 4.686
angles: 90.00 90.00 90.00
Fractional positions:
Na1 0.000 0.000 0.000
Sr1 0.000 0.500 0.500
Sr2 0.500 0.000 0.500
Cd1 0.500 0.500 0.000
F1 0.000 0.000 0.500


Here is crystalline ScPdI at its relaxed geometry from the Alexandria database. Energies are from GGA-PBE.

Results
- Crystal system: orthorhombic
- Uncorrected formation energy: -0.560 eV/atom
- Size of the total moment: 0.00 μB/f.u.
- D(E_F): 2.2 states/eV per cell

abc: 7.482 7.209 8.649
angles: 55.40 52.49 72.11
Fractional positions:
Sc1 0.229 0.771 0.352
Sc2 0.602 0.898 0.479
Sc3 0.771 0.229 0.648
Sc4 0.898 0.602 0.021
Pd1 0.140 0.956 0.587
Pd2 0.663 0.932 0.110
Pd3 0.932 0.663 0.294
Pd4 0.956 0.140 0.318
I1 0.371 0.457 0.871
I2 0.379 0.949 0.879
I3 0.457 0.371 0.301
I4 0.949 0.379 0.793


Here is crystalline LaAl3HgAu at its relaxed geometry from the Alexandria database. Energies are from GGA-PBE.

Results
- Crystal system: orthorhombic
- Size of the total moment: 0.00 μB/f.u.
- D(E_F): 5.6 states/eV per cell
- Calculated formation energy: -0.188 eV/atom

abc: 8.714 8.714 6.133
angles: 90.00 90.00 139.39
Fractional positions:
La1 0.178 0.822 0.750
La2 0.822 0.178 0.250
Al1 0.238 0.238 0.000
Al2 0.238 0.238 0.500
Al3 0.266 0.734 0.250
Al4 0.734 0.266 0.750
Al5 0.762 0.762 0.000
Al6 0.762 0.762 0.500
Hg1 0.110 0.890 0.250
Hg2 0.890 0.110 0.750
Au1 0.418 0.582 0.250
Au2 0.582 0.418 0.750